Record 1
# Tc2OF8 GGA-PBE relaxed
data_Tc2OF8
_cell_length_a 5.5349
_cell_length_b 6.1197
_cell_length_c 6.1197
_cell_angle_alpha 80.51
_cell_angle_beta 80.26
_cell_angle_gamma 80.26
_symmetry_space_group_name_H-M 'P 1'
_symmetry_Int_Tables_number 1
loop_
_symmetry_equiv_pos_as_xyz
'x,y,z'
loop_
_atom_site_label
_atom_site_type_symbol
_atom_site_fract_x
_atom_site_fract_y
_atom_site_fract_z
F1 F 0.2095 0.0502 0.5703
F2 F 0.5203 0.8557 0.8557
F3 F 0.7905 0.9498 0.4297
F4 F 0.2095 0.5703 0.0502
F5 F 0.7595 0.3853 0.3853
F6 F 0.2404 0.6147 0.6147
F7 F 0.4797 0.1443 0.1443
F8 F 0.7905 0.4297 0.9498
Tc1 Tc 0.2088 0.8164 0.8164
Tc2 Tc 0.7912 0.1836 0.1836
O1 O 0.0000 0.0000 0.0000
# space group	C2/m (12)
# formation energy without anion corrections	-1829	meV/atom
# M_tot	0.36	μB per atom

---

Record 2
# TcOF2 GGA-PBE relaxed
data_TcOF2
_cell_length_a 5.0780
_cell_length_b 5.4245
_cell_length_c 8.6615
_cell_angle_alpha 90.00
_cell_angle_beta 90.00
_cell_angle_gamma 90.00
_symmetry_space_group_name_H-M 'P 1'
_symmetry_Int_Tables_number 1
loop_
_symmetry_equiv_pos_as_xyz
'x,y,z'
loop_
_atom_site_label
_atom_site_type_symbol
_atom_site_fract_x
_atom_site_fract_y
_atom_site_fract_z
Tc1 Tc 0.0001 0.2500 0.3926
Tc2 Tc 0.4999 0.7500 0.8925
Tc3 Tc 0.5001 0.2500 0.1075
Tc4 Tc 0.9999 0.7500 0.6074
F1 F 0.6995 0.0737 0.9231
F2 F 0.8003 0.0737 0.5767
F3 F 0.3003 0.4263 0.9233
F4 F 0.1997 0.9263 0.4233
F5 F 0.3005 0.9263 0.0769
F6 F 0.6997 0.5737 0.0767
F7 F 0.1995 0.4263 0.5769
F8 F 0.8005 0.5737 0.4231
O1 O 0.2497 0.8430 0.7501
O2 O 0.7497 0.6570 0.7499
O3 O 0.2503 0.3430 0.2501
O4 O 0.7503 0.1570 0.2499
# space group	Pnna (52)
# formation energy without anion corrections	-1771	meV/atom
# M_tot	0.00	μB per atom

---

Record 3
# TcO2F3 GGA-PBE relaxed
data_TcO2F3
_cell_length_a 8.1020
_cell_length_b 8.2334
_cell_length_c 11.9894
_cell_angle_alpha 88.45
_cell_angle_beta 89.91
_cell_angle_gamma 85.71
_symmetry_space_group_name_H-M 'P 1'
_symmetry_Int_Tables_number 1
loop_
_symmetry_equiv_pos_as_xyz
'x,y,z'
loop_
_atom_site_label
_atom_site_type_symbol
_atom_site_fract_x
_atom_site_fract_y
_atom_site_fract_z
Tc1 Tc 0.0848 0.2490 0.3685
Tc2 Tc 0.5358 0.7233 0.4148
Tc3 Tc 0.4443 0.2523 0.1208
Tc4 Tc 0.0490 0.2144 0.9073
Tc5 Tc 0.9510 0.7856 0.0927
Tc6 Tc 0.9152 0.7510 0.6315
Tc7 Tc 0.5557 0.7477 0.8792
Tc8 Tc 0.4642 0.2767 0.5852
O1 O 0.0170 0.2208 0.5004
O2 O 0.5878 0.2185 0.0203
O3 O 0.5740 0.3361 0.6947
O4 O 0.8690 0.6192 0.1486
O5 O 0.5905 0.9091 0.3727
O6 O 0.9830 0.7792 0.4996
O7 O 0.5538 0.3250 0.2257
O8 O 0.4462 0.6750 0.7743
O9 O 0.0900 0.7472 0.7081
O10 O 0.4260 0.6639 0.3053
O11 O 0.8690 0.2085 0.8376
O12 O 0.1310 0.7915 0.1624
O13 O 0.4095 0.0909 0.6273
O14 O 0.1310 0.3808 0.8514
O15 O 0.4122 0.7815 0.9797
O16 O 0.9100 0.2528 0.2919
F1 F 0.2264 0.2800 0.2225
F2 F 0.3331 0.2513 0.4336
F3 F 0.7353 0.6055 0.3803
F4 F 0.0000 0.0000 0.0000
F5 F 0.7391 0.8289 0.9870
F6 F 0.2647 0.3945 0.6197
F7 F 0.1739 0.0585 0.8254
F8 F 0.6506 0.5472 0.9345
F9 F 0.8261 0.9415 0.1746
F10 F 0.5000 0.5000 0.5000
F11 F 0.6401 0.2105 0.4927
F12 F 0.3494 0.4528 0.0655
F13 F 0.1616 0.0325 0.3456
F14 F 0.5636 0.9619 0.8268
F15 F 0.8384 0.9675 0.6544
F16 F 0.8955 0.5266 0.6284
F17 F 0.0366 0.6918 0.9630
F18 F 0.7736 0.7200 0.7775
F19 F 0.1045 0.4734 0.3716
F20 F 0.6669 0.7487 0.5664
F21 F 0.3599 0.7895 0.5073
F22 F 0.4364 0.0381 0.1732
F23 F 0.2609 0.1711 0.0130
F24 F 0.9634 0.3082 0.0370
# space group	P-1 (2)
# formation energy without anion corrections	-1718	meV/atom
# M_tot	0.00	μB per atom

---

Record 4
# TcO3F GGA-PBE relaxed
data_TcO3F
_cell_length_a 4.9603
_cell_length_b 5.6420
_cell_length_c 7.0821
_cell_angle_alpha 90.26
_cell_angle_beta 90.01
_cell_angle_gamma 89.97
_symmetry_space_group_name_H-M 'P 1'
_symmetry_Int_Tables_number 1
loop_
_symmetry_equiv_pos_as_xyz
'x,y,z'
loop_
_atom_site_label
_atom_site_type_symbol
_atom_site_fract_x
_atom_site_fract_y
_atom_site_fract_z
O1 O 0.1214 0.3503 0.9951
O2 O 0.0683 0.8396 0.2994
O3 O 0.5682 0.5129 0.7992
O4 O 0.6218 0.0037 0.4961
O5 O 0.6214 0.0026 0.1034
O6 O 0.1217 0.3490 0.6024
F1 F 0.0869 0.8059 0.7994
F2 F 0.5870 0.5470 0.2989
Tc1 Tc 0.2236 0.4989 0.7990
Tc2 Tc 0.7236 0.8539 0.2994
# space group	P2_1 (4)
# formation energy without anion corrections	-1449	meV/atom
# M_tot	0.00	μB per atom